No. 1
The following is a DFT calculation (PBE) of crystalline Na3Cd2Hg4 at its relaxed geometry.

ΔH_f (0 K): -0.199 eV/atom
density of states at the Fermi level: 3.196 states/eV/f.u.

Geometry as CIF:
```
data_Na3Cd2Hg4
_cell_length_a 10.963
_cell_length_b 5.128
_cell_length_c 9.553
_cell_angle_alpha 90.00
_cell_angle_beta 123.22
_cell_angle_gamma 90.00
_space_group_name_H-M_alt 'C 1 2/m 1'
_space_group_IT_number 12
loop_
_space_group_symop_operation_xyz
'x,y,z'
'-x,-y,-z'
'-x,y,-z'
'x,-y,z'
'x+1/2,y+1/2,z'
'-x+1/2,-y+1/2,-z'
'-x+1/2,y+1/2,-z'
'x+1/2,-y+1/2,z'
loop_
_atom_site_label
_atom_site_type_symbol
_atom_site_fract_x
_atom_site_fract_y
_atom_site_fract_z
_atom_site_occupancy
Na1 Na 0.000 0.000 0.000 1
Na2 Na 0.164 0.500 0.670 1
Cd1 Cd 0.113 0.500 0.282 1
Hg1 Hg 0.060 0.000 0.390 1
Hg2 Hg 0.218 0.500 0.054 1
```

***

No. 2
The following is a DFT calculation (PBE) of crystalline Na8Cd2Hg at its relaxed geometry.

ΔH_f (0 K): -0.076 eV/atom
density of states at the Fermi level: 5.025 states/eV/f.u.

Geometry as CIF:
```
data_Na8Cd2Hg
_cell_length_a 17.639
_cell_length_b 5.398
_cell_length_c 7.544
_cell_angle_alpha 90.00
_cell_angle_beta 111.35
_cell_angle_gamma 90.00
_space_group_name_H-M_alt 'C 1 2/m 1'
_space_group_IT_number 12
loop_
_space_group_symop_operation_xyz
'x,y,z'
'-x,-y,-z'
'-x,y,-z'
'x,-y,z'
'x+1/2,y+1/2,z'
'-x+1/2,-y+1/2,-z'
'-x+1/2,y+1/2,-z'
'x+1/2,-y+1/2,z'
loop_
_atom_site_label
_atom_site_type_symbol
_atom_site_fract_x
_atom_site_fract_y
_atom_site_fract_z
_atom_site_occupancy
Na1 Na 0.019 0.000 0.253 1
Na2 Na 0.116 0.500 0.932 1
Na3 Na 0.161 0.500 0.415 1
Na4 Na 0.177 0.000 0.726 1
Cd1 Cd 0.191 0.000 0.175 1
Hg1 Hg 0.000 0.500 0.500 1
```

***

No. 3
The following is a DFT calculation (PBE) of crystalline NaCd4Hg7 at its relaxed geometry.

ΔH_f (0 K): -0.042 eV/atom
density of states at the Fermi level: 3.340 states/eV/f.u.

Geometry as CIF:
```
data_NaCd4Hg7
_cell_length_a 5.890
_cell_length_b 6.363
_cell_length_c 8.572
_cell_angle_alpha 72.49
_cell_angle_beta 76.26
_cell_angle_gamma 89.47
_space_group_name_H-M_alt 'P -1'
_space_group_IT_number 2
loop_
_space_group_symop_operation_xyz
'x,y,z'
'-x,-y,-z'
loop_
_atom_site_label
_atom_site_type_symbol
_atom_site_fract_x
_atom_site_fract_y
_atom_site_fract_z
_atom_site_occupancy
Na1 Na 0.000 0.000 0.000 1
Cd1 Cd 0.105 0.201 0.333 1
Cd2 Cd 0.376 0.545 0.680 1
Hg1 Hg 0.000 0.500 0.000 1
Hg2 Hg 0.159 0.695 0.334 1
Hg3 Hg 0.347 0.078 0.642 1
Hg4 Hg 0.495 0.767 0.972 1
```

***

No. 4
The following is a DFT calculation (PBE) of crystalline Na12Cd6Hg at its relaxed geometry.

ΔH_f (0 K): -0.075 eV/atom
density of states at the Fermi level: 6.982 states/eV/f.u.

Geometry as CIF:
```
data_Na12Cd6Hg
_cell_length_a 11.3546
_cell_length_b 11.3546
_cell_length_c 14.6588
_cell_angle_alpha 90.00
_cell_angle_beta 90.00
_cell_angle_gamma 120.00
_space_group_name_H-M_alt 'R -3'
_space_group_IT_number 148
_space_group_name_Hall '-R 3'
loop_
_atom_site_label
_atom_site_type_symbol
_atom_site_fract_x
_atom_site_fract_y
_atom_site_fract_z
_atom_site_occupancy
Na1 Na 0.0346 0.1903 0.3161 1
Na2 Na 0.0610 0.8415 0.9132 1
Cd1 Cd 0.0351 0.4430 0.2008 1
Hg1 Hg 0.0000 0.0000 0.5000 1
```

***

No. 5
The following is a DFT calculation (PBE) of crystalline NaCd2Hg at its relaxed geometry.

ΔH_f (0 K): -0.025 eV/atom
density of states at the Fermi level: 1.428 states/eV/f.u.

Geometry as CIF:
```
data_NaCd2Hg
_cell_length_a 8.554
_cell_length_b 8.554
_cell_length_c 5.985
_cell_angle_alpha 90.00
_cell_angle_beta 90.00
_cell_angle_gamma 90.00
_space_group_name_H-M_alt 'I -4 2 d'
_space_group_IT_number 122
_space_group_name_Hall 'I -4 2bw'
loop_
_atom_site_label
_atom_site_type_symbol
_atom_site_fract_x
_atom_site_fract_y
_atom_site_fract_z
_atom_site_occupancy
Na1 Na 0.000 0.000 0.000 1
Cd1 Cd 0.223 0.250 0.625 1
Hg1 Hg 0.000 0.000 0.500 1
```

***

No. 6
The following is a DFT calculation (PBE) of crystalline Na2Cd6Hg3 at its relaxed geometry.

ΔH_f (0 K): -0.061 eV/atom
density of states at the Fermi level: 4.659 states/eV/f.u.

Geometry as CIF:
```
data_Na2Cd6Hg3
_cell_length_a 8.6090
_cell_length_b 8.6090
_cell_length_c 4.5832
_cell_angle_alpha 90.00
_cell_angle_beta 90.00
_cell_angle_gamma 120.00
_space_group_name_H-M_alt 'P -6 2 m'
_space_group_IT_number 189
_space_group_name_Hall 'P -6 -2'
loop_
_atom_site_label
_atom_site_type_symbol
_atom_site_fract_x
_atom_site_fract_y
_atom_site_fract_z
_atom_site_occupancy
Na1 Na 0.3333 0.6667 0.0000 1
Cd1 Cd 0.0000 0.2060 0.0000 1
Cd2 Cd 0.0000 0.7473 0.5000 1
Hg1 Hg 0.0000 0.4226 0.5000 1
```

***

- What is the ΔH_f (0 K) in the fifth record?
  -0.025 eV/atom

***

- What is the density of states at the Fermi level in the second record?
  5.025 states/eV/f.u.

***

- What is the formula in the first record?
  Na3Cd2Hg4

***

Please write out number 5 again, unchanged.
The following is a DFT calculation (PBE) of crystalline NaCd2Hg at its relaxed geometry.

ΔH_f (0 K): -0.025 eV/atom
density of states at the Fermi level: 1.428 states/eV/f.u.

Geometry as CIF:
```
data_NaCd2Hg
_cell_length_a 8.554
_cell_length_b 8.554
_cell_length_c 5.985
_cell_angle_alpha 90.00
_cell_angle_beta 90.00
_cell_angle_gamma 90.00
_space_group_name_H-M_alt 'I -4 2 d'
_space_group_IT_number 122
_space_group_name_Hall 'I -4 2bw'
loop_
_atom_site_label
_atom_site_type_symbol
_atom_site_fract_x
_atom_site_fract_y
_atom_site_fract_z
_atom_site_occupancy
Na1 Na 0.000 0.000 0.000 1
Cd1 Cd 0.223 0.250 0.625 1
Hg1 Hg 0.000 0.000 0.500 1
```